First-principles (PBE) data for an optimized crystal structure of PrY2US8, as listed in the Alexandria database.

## Properties
Symmetry   No. 2
Total magnetization   0.00 μB per cell
DFT total energy   -0.48916 Ry/atom
Volume   26.1 A^3/atom

Lattice parameters (Å, degrees): 6.2790 5.9655 8.3463 89.96 90.00 90.72
Closest atoms and distances in Å follow each position.
Atoms (fractional coordinates):
Y1 0.4999 0.4997 0.7572  6 S 2.72-2.77
Y2 0.5001 0.5003 0.2428  6 S 2.72-2.77
S1 0.6577 0.7568 0.9997  1 U 2.58, 2 Y 2.72
S2 0.8676 0.2487 0.2269  1 U 2.55, 1 Y 2.77, 1 Pr 2.85
S3 0.1318 0.7508 0.2272  1 U 2.55, 1 Y 2.77, 1 Pr 2.85
S4 0.8682 0.2492 0.7728  1 U 2.55, 1 Y 2.77, 1 Pr 2.85
S5 0.3423 0.2432 0.0003  1 U 2.58, 2 Y 2.72
S6 0.1324 0.7513 0.7731  1 U 2.55, 1 Y 2.77, 1 Pr 2.85
S7 0.5719 0.7808 0.5000  2 Y 2.76, 1 S 2.78, 1 Pr 2.97
S8 0.4281 0.2192 0.5000  2 Y 2.76, 1 S 2.78, 1 Pr 2.97
Pr1 0.0000 0.0000 0.5000  6 S 2.85-2.97
U1 0.0000 0.0000 0.0000  6 S 2.55-2.58



First-principles (PBE) data for an optimized crystal structure of PrVS, as listed in the Alexandria database.

## Properties
Symmetry   No. 69
Total magnetization   0.00 μB per cell
DFT total energy   -0.50331 Ry/atom
Volume   21.7 A^3/atom

Lattice parameters (Å, degrees): 4.2148 4.2148 7.9977 106.99 106.99 83.78
Closest atoms and distances in Å follow each position.
Atoms (fractional coordinates):
V1 0.6495 0.6495 0.4998  1 V 1.88
V2 0.3505 0.3505 0.5002  1 V 1.88
S1 0.3406 0.3406 0.1814  2 V 2.52-2.53
S2 0.6594 0.6594 0.8186  2 V 2.52-2.53
Pr1 0.1394 0.1394 0.7788  5 S 2.83-3.15, 2 V 3.01
Pr2 0.8606 0.8606 0.2212  5 S 2.83-3.15, 2 V 3.01



First-principles (PBE) data for an optimized crystal structure of PrVS2, as listed in the Alexandria database.

## Properties
Symmetry   No. 166
Total magnetization   2.28 μB per cell
DFT total energy   -0.46522 Ry/atom
Volume   23.8 A^3/atom

Lattice parameters (Å, degrees): 3.6815 3.6815 8.3787 77.31 77.31 60.00
Closest atoms and distances in Å follow each position.
Atoms (fractional coordinates):
S1 0.1146 0.1146 0.6563  3 V 2.47
S2 0.8854 0.8854 0.3437  3 V 2.47
Pr1 0.0000 0.0000 0.0000  2 S 2.79
V1 0.5000 0.5000 0.5000  6 S 2.47



First-principles (PBE) data for an optimized crystal structure of Pr3V5S12, as listed in the Alexandria database.

## Properties
Symmetry   No. 230
Total magnetization   39.96 μB per cell
DFT total energy   -0.49395 Ry/atom
Volume   21.8 A^3/atom

Lattice parameters (Å, degrees): 13.1309 13.1309 13.1309 109.47 109.47 109.47
Closest atoms and distances in Å follow each position.
Atoms (fractional coordinates):
S1 0.0245 0.6164 0.7046  2 V 2.26-2.45
S2 0.0882 0.1801 0.2046  2 V 2.26-2.45
S3 0.8199 0.9081 0.0245  2 V 2.26-2.45
S4 0.2954 0.8836 0.9755  2 V 2.26-2.45
S5 0.9081 0.0882 0.8836  2 V 2.26-2.45
S6 0.1801 0.0919 0.9755  2 V 2.26-2.45
S7 0.1164 0.4118 0.0919  2 V 2.26-2.45
S8 0.5919 0.6164 0.4118  2 V 2.26-2.45
S9 0.7954 0.3199 0.9118  2 V 2.26-2.45
S10 0.0245 0.4081 0.8199  2 V 2.26-2.45
S11 0.8836 0.2954 0.4755  2 V 2.26-2.45
S12 0.1164 0.7046 0.5245  2 V 2.26-2.45
S13 0.5919 0.9755 0.6801  2 V 2.26-2.45
S14 0.9755 0.3836 0.2954  2 V 2.26-2.45
S15 0.6164 0.5919 0.9118  2 V 2.26-2.45
S16 0.2046 0.6801 0.0882  2 V 2.26-2.45
S17 0.9118 0.8199 0.7954  2 V 2.26-2.45
S18 0.3836 0.4081 0.0882  2 V 2.26-2.45
S19 0.3836 0.9755 0.7954  2 V 2.26-2.45
S20 0.7954 0.4755 0.3836  2 V 2.26-2.45
S21 0.6801 0.2046 0.5882  2 V 2.26-2.45
S22 0.4081 0.0245 0.3199  2 V 2.26-2.45
S23 0.5882 0.7046 0.6801  2 V 2.26-2.45
S24 0.6801 0.4755 0.5919  2 V 2.26-2.45
S25 0.7046 0.5882 0.1801  2 V 2.26-2.45
S26 0.9081 0.8199 0.5245  2 V 2.26-2.45
S27 0.8199 0.9118 0.2954  2 V 2.26-2.45
S28 0.4755 0.6801 0.0919  2 V 2.26-2.45
S29 0.9755 0.5919 0.1801  2 V 2.26-2.45
S30 0.4081 0.3836 0.5882  2 V 2.26-2.45
S31 0.8836 0.5882 0.9081  2 V 2.26-2.45
S32 0.1801 0.0882 0.7046  2 V 2.26-2.45
S33 0.0919 0.9118 0.1164  2 V 2.26-2.45
S34 0.4118 0.1164 0.5919  2 V 2.26-2.45
S35 0.0919 0.1801 0.4755  2 V 2.26-2.45
S36 0.5245 0.3199 0.9081  2 V 2.26-2.45
S37 0.6164 0.0245 0.2046  2 V 2.26-2.45
S38 0.3199 0.7954 0.4118  2 V 2.26-2.45
S39 0.5245 0.2046 0.1164  2 V 2.26-2.45
S40 0.4755 0.7954 0.8836  2 V 2.26-2.45
S41 0.2046 0.5245 0.6164  2 V 2.26-2.45
S42 0.5882 0.8836 0.4081  2 V 2.26-2.45
S43 0.4118 0.2954 0.3199  2 V 2.26-2.45
S44 0.7046 0.1164 0.0245  2 V 2.26-2.45
S45 0.3199 0.5245 0.4081  2 V 2.26-2.45
S46 0.2954 0.4118 0.8199  2 V 2.26-2.45
S47 0.9118 0.0919 0.6164  2 V 2.26-2.45
S48 0.0882 0.9081 0.3836  2 V 2.26-2.45
V1 0.5000 0.0000 0.0000  6 S 2.45
V2 0.5000 0.0000 0.5000  6 S 2.45
V3 0.3750 0.2500 0.1250  4 S 2.26
V4 0.2500 0.3750 0.6250  4 S 2.26
V5 0.8750 0.6250 0.7500  4 S 2.26
V6 0.3750 0.1250 0.7500  4 S 2.26
V7 0.0000 0.5000 0.5000  6 S 2.45
V8 0.5000 0.5000 0.5000  6 S 2.45
V9 0.7500 0.1250 0.8750  4 S 2.26
V10 0.1250 0.3750 0.2500  4 S 2.26
V11 0.0000 0.5000 0.0000  6 S 2.45
V12 0.8750 0.2500 0.6250  4 S 2.26
V13 0.1250 0.7500 0.3750  4 S 2.26
V14 0.6250 0.8750 0.2500  4 S 2.26
V15 0.0000 0.0000 0.0000  6 S 2.45
V16 0.5000 0.5000 0.0000  6 S 2.45
V17 0.6250 0.7500 0.8750  4 S 2.26
V18 0.7500 0.6250 0.3750  4 S 2.26
V19 0.0000 0.0000 0.5000  6 S 2.45
V20 0.2500 0.8750 0.1250  4 S 2.26
Pr1 0.8750 0.1250 0.2500  8 S 2.96-3.00
Pr2 0.1250 0.8750 0.7500  8 S 2.96-3.00
Pr3 0.8750 0.7500 0.1250  8 S 2.96-3.00
Pr4 0.1250 0.2500 0.8750  8 S 2.96-3.00
Pr5 0.7500 0.8750 0.6250  8 S 2.96-3.00
Pr6 0.3750 0.7500 0.6250  8 S 2.96-3.00
Pr7 0.7500 0.3750 0.1250  8 S 2.96-3.00
Pr8 0.6250 0.2500 0.3750  8 S 2.96-3.00
Pr9 0.2500 0.6250 0.8750  8 S 2.96-3.00
Pr10 0.3750 0.6250 0.2500  8 S 2.96-3.00
Pr11 0.6250 0.3750 0.7500  8 S 2.96-3.00
Pr12 0.2500 0.1250 0.3750  8 S 2.96-3.00



First-principles (PBE) data for an optimized crystal structure of Pr2VS5, as listed in the Alexandria database.

## Properties
Symmetry   No. 107
Total magnetization   0.80 μB per cell
DFT total energy   -0.46366 Ry/atom
Volume   22.3 A^3/atom

Lattice parameters (Å, degrees): 6.7898 6.7898 6.1663 123.39 123.39 90.00
Closest atoms and distances in Å follow each position.
Atoms (fractional coordinates):
V1 0.9548 0.9548 0.9096  1 S 2.04
S1 0.2547 0.7807 0.0353  1 V 2.33
S2 0.6919 0.6919 0.3839  1 V 2.04
S3 0.7807 0.2547 0.0353  1 V 2.33
S4 0.2547 0.2547 0.0354  1 V 2.33
S5 0.7806 0.7806 0.0353  1 V 2.33
Pr1 0.2798 0.7798 0.5596  8 S 3.03-3.15
Pr2 0.7798 0.2798 0.5596  8 S 3.03-3.15



First-principles (PBE) data for an optimized crystal structure of Pr5Y3S8, as listed in the Alexandria database.

## Properties
Symmetry   No. 166
Total magnetization   0.00 μB per cell
DFT total energy   -0.49811 Ry/atom
Volume   23.3 A^3/atom

Lattice parameters (Å, degrees): 8.0365 8.0365 8.1179 60.33 60.33 60.00
Closest atoms and distances in Å follow each position.
Atoms (fractional coordinates):
Y1 0.5000 0.0000 0.5000  6 S 2.78-2.79
Y2 0.0000 0.0000 0.5000  6 S 2.78-2.79
Y3 0.0000 0.5000 0.5000  6 S 2.78-2.79
S1 0.7627 0.2502 0.7370  2 Y 2.78, 4 Pr 2.85-2.93
S2 0.7562 0.7562 0.7315  3 Y 2.79, 3 Pr 2.93
S3 0.2502 0.2502 0.7370  2 Y 2.78, 4 Pr 2.85-2.93
S4 0.2502 0.7627 0.7370  2 Y 2.78, 4 Pr 2.85-2.93
S5 0.7498 0.7498 0.2630  2 Y 2.78, 4 Pr 2.85-2.93
S6 0.7498 0.2373 0.2630  2 Y 2.78, 4 Pr 2.85-2.93
S7 0.2373 0.7498 0.2630  2 Y 2.78, 4 Pr 2.85-2.93
S8 0.2438 0.2438 0.2685  3 Y 2.79, 3 Pr 2.93
Pr1 0.5000 0.5000 0.5000  6 S 2.85
Pr2 0.0000 0.0000 0.0000  6 S 2.86
Pr3 0.5000 0.0000 0.0000  6 S 2.93
Pr4 0.5000 0.5000 0.0000  6 S 2.93
Pr5 0.0000 0.5000 0.0000  6 S 2.93



First-principles (PBE) data for an optimized crystal structure of Pr2YS4, as listed in the Alexandria database.

## Properties
Symmetry   No. 63
Total magnetization   0.00 μB per cell
E above lowest polymorph   8 meV per atom
Volume   25.5 A^3/atom

Lattice parameters (Å, degrees): 3.8930 7.0585 13.5010 90.00 90.00 106.01
Closest atoms and distances in Å follow each position.
Atoms (fractional coordinates):
S1 0.5000 0.0000 0.5000  4 Pr 2.80
S2 0.2196 0.4393 0.8738  2 Y 2.85, 3 Pr 2.92-2.95
S3 0.5000 0.0000 0.0000  4 Pr 2.80
S4 0.9833 0.9666 0.7500  2 Y 2.76, 2 Pr 2.84
S5 0.7804 0.5607 0.3738  2 Y 2.85, 3 Pr 2.92-2.95
S6 0.7804 0.5607 0.1262  2 Y 2.85, 3 Pr 2.92-2.95
S7 0.2196 0.4393 0.6262  2 Y 2.85, 3 Pr 2.92-2.95
S8 0.0167 0.0334 0.2500  2 Y 2.76, 2 Pr 2.84
Pr1 0.1294 0.2587 0.0724  6 S 2.80-2.95
Pr2 0.8706 0.7413 0.9276  6 S 2.80-2.95
Pr3 0.1294 0.2587 0.4276  6 S 2.80-2.95
Pr4 0.8706 0.7413 0.5724  6 S 2.80-2.95
Y1 0.6275 0.2550 0.7500  6 S 2.76-2.85
Y2 0.3725 0.7450 0.2500  6 S 2.76-2.85



First-principles (PBE) data for an optimized crystal structure of PrYS3, as listed in the Alexandria database.

## Properties
Symmetry   No. 62
Total magnetization   0.00 μB per cell
E above lowest polymorph   0 meV per atom
Volume   23.1 A^3/atom

Lattice parameters (Å, degrees): 4.0173 7.4460 15.4667 90.00 90.00 90.00
Closest atoms and distances in Å follow each position.
Atoms (fractional coordinates):
S1 0.7500 0.1255 0.0617  3 Y 2.80-2.96, 2 Pr 2.95, 1 S 3.13
S2 0.2500 0.5117 0.1051  3 Y 2.75-2.92
S3 0.2500 0.3745 0.5617  3 Y 2.80-2.96, 2 Pr 2.95, 1 S 3.13
S4 0.7500 0.4883 0.8949  3 Y 2.75-2.92
S5 0.2500 0.1487 0.7848  1 Y 2.80, 4 Pr 2.85-2.97, 1 S 3.13
S6 0.7500 0.3513 0.2848  1 Y 2.80, 4 Pr 2.85-2.97, 1 S 3.13
S7 0.2500 0.6487 0.7152  1 Y 2.80, 4 Pr 2.85-2.97, 1 S 3.13
S8 0.7500 0.6255 0.4383  3 Y 2.80-2.96, 2 Pr 2.95, 1 S 3.13
S9 0.2500 0.0117 0.3949  3 Y 2.75-2.92
S10 0.7500 0.8513 0.2152  1 Y 2.80, 4 Pr 2.85-2.97, 1 S 3.13
S11 0.2500 0.8745 0.9383  3 Y 2.80-2.96, 2 Pr 2.95, 1 S 3.13
S12 0.7500 0.9883 0.6051  3 Y 2.75-2.92
Pr1 0.2500 0.6438 0.2992  8 S 2.85-3.16
Pr2 0.7500 0.8562 0.7992  8 S 2.85-3.16
Pr3 0.2500 0.1438 0.2008  8 S 2.85-3.16
Pr4 0.7500 0.3562 0.7008  8 S 2.85-3.16
Y1 0.2500 0.2698 0.9565  7 S 2.75-2.96
Y2 0.7500 0.2302 0.4565  7 S 2.75-2.96
Y3 0.2500 0.7698 0.5435  7 S 2.75-2.96
Y4 0.7500 0.7302 0.0435  7 S 2.75-2.96



First-principles (PBE) data for an optimized crystal structure of PrY4S7, as listed in the Alexandria database.

## Properties
Symmetry   No. 8
Total magnetization   0.00 μB per cell
DFT total energy   -0.51553 Ry/atom
Volume   23.8 A^3/atom

Lattice parameters (Å, degrees): 3.8435 6.8090 11.7369 103.84 90.00 106.39
Closest atoms and distances in Å follow each position.
Atoms (fractional coordinates):
Pr1 0.8886 0.7772 0.5806  6 S 2.79-2.95
S1 0.6592 0.3185 0.0512  5 Y 2.78-2.95
S2 0.0463 0.0925 0.7920  3 Y 2.68-2.75, 1 Pr 2.80
S3 0.7379 0.4758 0.3470  4 Y 2.78-2.95, 1 Pr 2.95
S4 0.2509 0.5018 0.6496  3 Y 2.87-2.92, 2 Pr 2.88
S5 0.3431 0.6862 0.9501  5 Y 2.77-2.95
S6 0.9562 0.9124 0.2144  4 Y 2.69-2.76
S7 0.5040 0.0079 0.4939  2 Y 2.67, 2 Pr 2.79
Y1 0.0010 0.0021 0.0028  6 S 2.68-2.78
Y2 0.1120 0.2241 0.4173  6 S 2.67-2.87
Y3 0.3002 0.6004 0.1854  7 S 2.76-2.95
Y4 0.7006 0.4012 0.8155  7 S 2.75-2.95



First-principles (PBE) data for an optimized crystal structure of Pr2Y3S4, as listed in the Alexandria database.

## Properties
Symmetry   No. 12
Total magnetization   0.00 μB per cell
DFT total energy   -0.50172 Ry/atom
Volume   24.4 A^3/atom

Lattice parameters (Å, degrees): 3.9350 6.8195 8.9644 74.77 77.32 73.23
Closest atoms and distances in Å follow each position.
Atoms (fractional coordinates):
S1 0.1981 0.8935 0.7103  3 Y 2.73-2.77, 3 Pr 2.85-2.89
S2 0.8019 0.1065 0.2897  3 Y 2.73-2.77, 3 Pr 2.85-2.89
S3 0.3960 0.3023 0.9058  5 Y 2.72-2.80, 1 Pr 2.91
S4 0.6040 0.6977 0.0942  5 Y 2.72-2.80, 1 Pr 2.91
Y1 0.2055 0.3945 0.1945  5 S 2.72-2.80
Y2 0.0000 0.0000 0.0000  6 S 2.77-2.78
Y3 0.7945 0.6055 0.8055  5 S 2.72-2.80
Pr1 0.5994 0.2047 0.5966  4 S 2.85-2.91
Pr2 0.4006 0.7953 0.4034  4 S 2.85-2.91



First-principles (PBE) data for an optimized crystal structure of PrY2S, as listed in the Alexandria database.

## Properties
Symmetry   No. 166
Total magnetization   0.00 μB per cell
E above lowest polymorph   177 meV per atom
Volume   30.2 A^3/atom

Lattice parameters (Å, degrees): 3.6952 3.6952 10.4263 79.79 79.79 60.00
Closest atoms and distances in Å follow each position.
Atoms (fractional coordinates):
Y1 0.8867 0.8867 0.3400  3 S 2.69
Y2 0.1133 0.1133 0.6600  3 S 2.69
S1 0.5000 0.5000 0.5000  6 Y 2.69
Pr1 0.0000 0.0000 0.0000  2 Y 3.47, 6 Pr 3.70



First-principles (PBE) data for an optimized crystal structure of PrY2S, as listed in the Alexandria database.

## Properties
Symmetry   No. 160
Total magnetization   0.11 μB per cell
E above lowest polymorph   0 meV per atom
Volume   28.9 A^3/atom

Lattice parameters (Å, degrees): 3.7582 3.7582 9.6928 78.79 78.79 59.97
Closest atoms and distances in Å follow each position.
Atoms (fractional coordinates):
Pr1 0.4998 0.4998 0.5003  6 Y 3.74-3.75, 6 Pr 3.76
Y1 0.0591 0.0591 0.8230  3 S 2.74
Y2 0.2743 0.2743 0.1770  3 S 2.74
S1 0.6668 0.6668 0.9997  6 Y 2.74